# Li2InMo (GGA-PBEsol, optimized geometry)
# E_form: 1.08 eV/f.u.
# Crystal system: tetragonal
# V: 66.5 Å³ per cell
data_Li2InMo
_chemical_formula_sum 'Li2 In1 Mo1'
_cell_length_a 2.6898
_cell_length_b 2.6898
_cell_length_c 9.1950
_cell_angle_alpha 90.00
_cell_angle_beta 90.00
_cell_angle_gamma 90.00
_space_group_name_H-M_alt 'P 4/m m m'
_space_group_IT_number 123
_space_group_name_Hall '-P 4 2'
loop_
_atom_site_label
_atom_site_fract_x
_atom_site_fract_y
_atom_site_fract_z
Li1 0.0000 0.0000 0.2435
In1 0.5000 0.5000 0.5000
Mo1 0.5000 0.5000 0.0000

# Dy2O3 (GGA-PBEsol, optimized geometry)
# Raw formation energy: -3.60 eV/atom
# Crystal system: trigonal
# V: 66.0 Å³ per cell
data_Dy2O3
_chemical_formula_sum 'Dy2 O3'
_cell_length_a 3.6390
_cell_length_b 3.6390
_cell_length_c 5.7576
_cell_angle_alpha 90.00
_cell_angle_beta 90.00
_cell_angle_gamma 120.00
_space_group_name_H-M_alt 'P -3 m 1'
_space_group_IT_number 164
_space_group_name_Hall '-P 3 2"'
loop_
_atom_site_label
_atom_site_fract_x
_atom_site_fract_y
_atom_site_fract_z
Dy1 0.3333 0.6667 0.2487
O1 0.0000 0.0000 0.0000
O2 0.3333 0.6667 0.6456

# CaZn5 (GGA-PBEsol, optimized geometry)
# E_form: -1.45 eV/f.u.
# Crystal system: hexagonal
# V: 100.2 Å³ per cell
data_CaZn5
_chemical_formula_sum 'Ca1 Zn5'
_cell_length_a 5.2674
_cell_length_b 5.2674
_cell_length_c 4.1683
_cell_angle_alpha 90.00
_cell_angle_beta 90.00
_cell_angle_gamma 120.00
_space_group_name_H-M_alt 'P 6/m m m'
_space_group_IT_number 191
_space_group_name_Hall '-P 6 2'
loop_
_atom_site_label
_atom_site_fract_x
_atom_site_fract_y
_atom_site_fract_z
Ca1 0.0000 0.0000 0.0000
Zn1 0.0000 0.5000 0.5000
Zn2 0.3333 0.6667 0.0000

# Zr3NiCl (GGA-PBEsol, optimized geometry)
# Raw formation energy: 0.16 eV/atom
# Crystal system: cubic
# V: 101.0 Å³ per cell
data_Zr3NiCl
_chemical_formula_sum 'Zr3 Ni1 Cl1'
_cell_length_a 4.6567
_cell_length_b 4.6567
_cell_length_c 4.6567
_cell_angle_alpha 90.00
_cell_angle_beta 90.00
_cell_angle_gamma 90.00
_space_group_name_H-M_alt 'P m -3 m'
_space_group_IT_number 221
_space_group_name_Hall '-P 4 2 3'
loop_
_atom_site_label
_atom_site_fract_x
_atom_site_fract_y
_atom_site_fract_z
Zr1 0.0000 0.0000 0.5000
Ni1 0.5000 0.5000 0.5000
Cl1 0.0000 0.0000 0.0000

# Br3Cl (GGA-PBEsol, optimized geometry)
# Raw formation energy: 0.20 eV/atom
# Crystal system: tetragonal
# V: 217.2 Å³ per cell
data_Br3Cl
_chemical_formula_sum 'Br6 Cl2'
_cell_length_a 3.9027
_cell_length_b 3.9027
_cell_length_c 14.2620
_cell_angle_alpha 90.00
_cell_angle_beta 90.00
_cell_angle_gamma 90.00
_space_group_name_H-M_alt 'I 4/m m m'
_space_group_IT_number 139
_space_group_name_Hall '-I 4 2'
loop_
_atom_site_label
_atom_site_fract_x
_atom_site_fract_y
_atom_site_fract_z
Br1 0.0000 0.0000 0.0000
Br2 0.0000 0.5000 0.2500
Cl1 0.0000 0.0000 0.5000

# Ba3ScCO3F7 (GGA-PBEsol, optimized geometry)
# Raw formation energy: -3.40 eV/atom
# Crystal system: orthorhombic
# V: 913.8 Å³ per cell
data_Ba3ScCO3F7
_chemical_formula_sum 'Ba12 Sc4 C4 O12 F28'
_cell_length_a 11.4646
_cell_length_b 13.4386
_cell_length_c 5.9314
_cell_angle_alpha 90.00
_cell_angle_beta 90.00
_cell_angle_gamma 90.00
_space_group_name_H-M_alt 'C m c m'
_space_group_IT_number 63
_space_group_name_Hall '-C 2c 2'
loop_
_atom_site_label
_atom_site_fract_x
_atom_site_fract_y
_atom_site_fract_z
Ba1 0.0000 0.0944 0.2500
Ba2 0.2242 0.3791 0.2500
Sc1 0.0000 0.2688 0.7500
C1 0.0000 0.4630 0.7500
O1 0.0000 0.4423 0.2500
O2 0.0968 0.4114 0.7500
F1 0.0000 0.1141 0.7500
F2 0.1214 0.2372 0.5038
F3 0.1601 0.0000 0.0000